1.
A relaxed structure of ScInOs4. Source: the Alexandria database, functional PBE.

Summary:
DFT formation energy: 123 meV/atom
SG: F-43m, No. 216
uncorrected energy: -8.875 eV/atom
volume: 101.74 Å³/f.u.

abc: 5.240 5.240 5.240
angles: 60.00 60.00 60.00
Sites, in units of the cell vectors:
Sc  0.000  0.000  0.000
In  0.750  0.750  0.750
Os  0.375  0.375  0.375
Os  0.375  0.375  0.875
Os  0.375  0.875  0.375
Os  0.875  0.375  0.375


2.
A relaxed structure of ScInOs3. Source: the Alexandria database, functional PBE.

Summary:
DFT formation energy: 2193 meV/atom
SG: Pm-3m, No. 221
ΔE to the lowest computed polymorph: 0.74 eV per formula unit
uncorrected energy: -6.359 eV/atom
volume: 110.51 Å³/f.u.

abc: 4.799 4.799 4.799
angles: 90.00 90.00 90.00
Sites, in units of the cell vectors:
Sc  0.000  0.000  0.000
In  0.500  0.500  0.500
Os  0.000  0.500  0.500
Os  0.500  0.000  0.500
Os  0.500  0.500  0.000


3.
A relaxed structure of Sc6InOs2. Source: the Alexandria database, functional PBE.

Summary:
DFT formation energy: -358 meV/atom
SG: Immm, No. 71
uncorrected energy: -7.379 eV/atom
volume: 194.56 Å³/f.u.

abc: 7.992 7.992 7.992
angles: 113.06 112.60 102.95
Sites, in units of the cell vectors:
Sc  0.033  0.243  0.790
Sc  0.186  0.286  0.472
Sc  0.186  0.714  0.900
Sc  0.332  0.023  0.692
Sc  0.332  0.640  0.308
Sc  0.453  0.243  0.210
Sc  0.547  0.757  0.790
Sc  0.668  0.360  0.692
Sc  0.668  0.977  0.308
Sc  0.814  0.286  0.100
Sc  0.814  0.714  0.528
Sc  0.967  0.757  0.210
In  0.000  0.000  0.000
In  0.500  0.500  0.000
Os  0.131  0.631  0.500
Os  0.330  0.000  0.330
Os  0.670  0.000  0.670
Os  0.869  0.369  0.500


4.
A relaxed structure of Sc4InOs. Source: the Alexandria database, functional PBE.

Summary:
DFT formation energy: 353 meV/atom
SG: F-43m, No. 216
ΔE to the lowest computed polymorph: 4.26 eV per formula unit
uncorrected energy: -6.197 eV/atom
volume: 121.10 Å³/f.u.

abc: 5.553 5.553 5.553
angles: 60.00 60.00 60.00
Sites, in units of the cell vectors:
Sc  0.377  0.377  0.377
Sc  0.377  0.377  0.868
Sc  0.377  0.868  0.377
Sc  0.868  0.377  0.377
In  0.000  0.000  0.000
Os  0.750  0.750  0.750


- Number 1 is which compound?
  ScInOs4